First-principles (PBE) data for a geometry-optimized TeAs2Pb2 structure, as listed in the Alexandria database.

Cell lengths 9.4430, 9.4430, 3.2017 Å; angles 90.00, 90.00, 90.00 degrees
Space group P4/mbm (No. 127)
Inequivalent atoms, fractional coordinates:
Te: 0.0000 0.0000 0.0000 [2 per cell]
As: 0.0938 0.4062 0.5000 [4 per cell]
Pb: 0.1858 0.6858 0.0000 [4 per cell]

Calculated values
Energy above the lowest structure with this stoichiometry = 0.185 eV per atom
Uncorrected formation energy = 0.140 eV/atom
VASP energy = -38.31 eV/cell
Density = 8.05 g/cm³
Density of states at the Fermi level = 5.643 states/eV/f.u.
Total magnetic moment = 0.00 μB/f.u.

***

First-principles (PBE) data for a geometry-optimized Dy3Hg4Au2 structure, as listed in the Alexandria database.

Cell lengths 14.2244, 11.4830, 5.3296 Å; angles 90.00, 100.25, 90.00 degrees
Space group C2/c (No. 15)
Inequivalent atoms, fractional coordinates:
Dy: 0.0000 0.1159 0.2500 [4 per cell]
Dy: 0.1710 0.3692 0.0794 [8 per cell]
Hg: 0.0563 0.3734 0.5254 [8 per cell]
Hg: 0.2182 0.1176 0.3657 [8 per cell]
Au: 0.1089 0.1305 0.8109 [8 per cell]

Calculated values
VASP energy = -105.18 eV/cell
Density = 13.06 g/cm³
Density of states at the Fermi level = 4.237 states/eV/f.u.
E_form = -0.525 eV per atom
Total magnetic moment = 0.00 μB/f.u.